MgPtRhO6 | the Alexandria database | PBE | optimized geometry; Fermi-level density of states = 7.290 states/eV/f.u.; size of the total moment = 2.88 μB per formula unit; E_form (uncorrected) = -0.92 eV per atom; SG = P-31c, No. 163
1.0
5.165 0.000 0.000
-2.582 4.473 0.000
0.000 0.000 8.889
Mg Pt Rh O
2 2 2 12
direct
0.000 0.000 0.000
0.000 0.000 0.500
0.333 0.667 0.250
0.667 0.333 0.750
0.333 0.667 0.750
0.667 0.333 0.250
0.002 0.350 0.630
0.002 0.652 0.870
0.348 0.350 0.870
0.348 0.998 0.630
0.350 0.002 0.130
0.350 0.348 0.370
0.650 0.652 0.630
0.650 0.998 0.870
0.652 0.002 0.370
0.652 0.650 0.130
0.998 0.348 0.130
0.998 0.650 0.370